[1]
First-principles (PBE) data for crystalline InTeC at its relaxed geometry, as listed in Alexandria via LeMat-Bulk.

Cell: 12.3283 4.4014 6.0429 Å, 90.00 103.25 90.00°
Last column: nearest neighbours and their distance in Å.
Space group Cm (No. 8)
Asymmetric unit:
In 0.0000 0.0000 0.0000 x2  4 C 2.91-3.03, 1 Te 2.94, 1 In 3.07
In 0.2252 0.0000 0.8641 x2  1 C 2.24
Te 0.0976 0.5000 0.4947 x2  1 C 2.06
Te 0.2981 0.5000 0.1806 x2  3 In 2.92-2.94
C 0.3812 0.0000 0.7347 x2  1 C 1.25
C 0.4637 0.0000 0.6465 x2  1 C 1.25

Results
ΔE to the lowest computed polymorph = 22.2 meV per atom
formation energy from raw total energies = 0.476 eV/atom
mass density = 5.29 g/cm3
magnetic moment = 0.00 Bohr magnetons per cell

[2]
First-principles (PBE) data for crystalline InTe3C at its relaxed geometry, as listed in Alexandria via LeMat-Bulk.

Cell: 4.9020 4.9020 4.9020 Å, 90.00 90.00 90.00°
Last column: nearest neighbours and their distance in Å.
Space group Pm-3m (No. 221)
Asymmetric unit:
In 0.0000 0.0000 0.0000 x1  12 Te 3.47
Te 0.0000 0.5000 0.5000 x3  2 C 2.45
C 0.5000 0.5000 0.5000 x1  6 Te 2.45

Results
ΔE to the lowest computed polymorph = 0.0 meV per atom
formation energy from raw total energies = 0.811 eV/atom
mass density = 7.18 g/cm3
magnetic moment = 0.00 Bohr magnetons per cell

[3]
First-principles (PBE) data for crystalline In2TeC at its relaxed geometry, as listed in Alexandria via LeMat-Bulk.

Cell: 6.0273 6.0273 11.0263 Å, 90.00 90.00 90.00°
Last column: nearest neighbours and their distance in Å.
Space group I-42d (No. 122)
Asymmetric unit:
In 0.1433 0.2500 0.1250 x8  2 C 2.22
Te 0.0000 0.0000 0.5000 x4  4 In 2.97
C 0.0000 0.0000 0.0000 x4  4 In 2.22

Results
formation energy from raw total energies = 0.347 eV/atom
mass density = 6.12 g/cm3
magnetic moment = 0.00 Bohr magnetons per cell

Q: Which value of magnetic moment does entry 1 give?
A: 0.00 Bohr magnetons per cell

Q: magnetic moment of number 3 (In2TeC)?
A: 0.00 Bohr magnetons per cell